1.
VASP calculation (GGA-PBE) on a geometry-optimized Ho2SbIr structure.

Output
Energy above the most stable polymorph in this dataset   0.00 eV per formula unit
DOS at the Fermi energy   0.79 states/eV/f.u.
Symmetry   P2_1/m
Volume   97.6 Å³/f.u.
Energy   -6.4986 eV per atom
ΔE_f (raw)   -0.964 eV per atom

Lattice parameters (Å, degrees): 4.280 6.067 8.171 113.05 90.00 90.00
Element x y z (fractional)
1 Ho 0.750 0.196 0.450
2 Ho 0.250 0.804 0.550
3 Ho 0.250 0.764 0.100
4 Ho 0.750 0.236 0.900
5 Sb 0.250 0.318 0.209
6 Sb 0.750 0.682 0.791
7 Ir 0.750 0.665 0.290
8 Ir 0.250 0.335 0.710



2.
VASP calculation (GGA-PBE) on a geometry-optimized LaGa2Si2 structure.

Output
DOS at the Fermi energy   1.66 states/eV/f.u.
Symmetry   P4/mbm
Volume   103.6 Å³/f.u.
Energy   -4.5232 eV per atom
ΔE_f (raw)   -0.158 eV per atom

Lattice parameters (Å, degrees): 7.573 7.573 3.612 90.00 90.00 90.00
Element x y z (fractional)
1 Si 0.386 0.886 0.000
2 Si 0.886 0.614 0.000
3 Si 0.614 0.114 0.000
4 Si 0.114 0.386 0.000
5 Ga 0.153 0.653 0.500
6 Ga 0.653 0.847 0.500
7 Ga 0.847 0.347 0.500
8 Ga 0.347 0.153 0.500
9 La 0.000 0.000 0.000
10 La 0.500 0.500 0.000



3.
VASP calculation (GGA-PBE) on a geometry-optimized La4MgZn2Ga structure.

Output
DOS at the Fermi energy   9.25 states/eV/f.u.
Symmetry   R-3m
Formation energy from the elements   -0.323 eV per atom
Volume   221.2 Å³/f.u.
Energy   -3.6833 eV per atom

Lattice parameters (Å, degrees): 5.380 5.380 9.354 73.29 73.29 60.00
Element x y z (fractional)
1 La 0.380 0.380 0.859
2 La 0.870 0.870 0.389
3 La 0.130 0.130 0.611
4 La 0.620 0.620 0.141
5 Mg 0.000 0.000 0.000
6 Zn 0.742 0.742 0.773
7 Zn 0.258 0.258 0.227
8 Ga 0.500 0.500 0.500



4.
VASP calculation (GGA-PBE) on a geometry-optimized RbV2Te structure.

Output
DOS at the Fermi energy   3.88 states/eV/f.u.
Symmetry   I4_1/amd
Volume   143.5 Å³/f.u.
Energy   -4.8927 eV per atom
ΔE_f (raw)   0.694 eV per atom

Lattice parameters (Å, degrees): 5.478 5.478 10.322 74.61 74.61 90.00
Site moments in Bohr magnetons follow the coordinates.
Element x y z (fractional)
1 Te 0.000 0.000 0.000  -0.07
2 Te 0.750 0.250 0.500  -0.07
3 Rb 0.500 0.500 0.000  0.04
4 Rb 0.250 0.750 0.500  0.04
5 V 0.875 0.125 0.250  2.75
6 V 0.875 0.625 0.250  2.75
7 V 0.375 0.125 0.750  2.75
8 V 0.875 0.125 0.750  2.75



> Look up the energy of the fourth one.

-4.8927 eV per atom



Repeat the fourth record exactly.
VASP calculation (GGA-PBE) on a geometry-optimized RbV2Te structure.

Output
DOS at the Fermi energy   3.88 states/eV/f.u.
Symmetry   I4_1/amd
Volume   143.5 Å³/f.u.
Energy   -4.8927 eV per atom
ΔE_f (raw)   0.694 eV per atom

Lattice parameters (Å, degrees): 5.478 5.478 10.322 74.61 74.61 90.00
Site moments in Bohr magnetons follow the coordinates.
Element x y z (fractional)
1 Te 0.000 0.000 0.000  -0.07
2 Te 0.750 0.250 0.500  -0.07
3 Rb 0.500 0.500 0.000  0.04
4 Rb 0.250 0.750 0.500  0.04
5 V 0.875 0.125 0.250  2.75
6 V 0.875 0.625 0.250  2.75
7 V 0.375 0.125 0.750  2.75
8 V 0.875 0.125 0.750  2.75



> volume of number 4 (RbV2Te)?

143.5 Å³/f.u.